1.
Density functional theory data (PBE) for crystalline La12Pm5Sn3 at its relaxed geometry.

Calculated values
The raw total energy comes out at -4.323 eV/atom. Its space-group type is Ia-3d (230).

Cell and atoms, written as POSCAR:
```
La12Pm5Sn3
1.0
-9.088 9.088 9.088
9.088 -9.088 9.088
9.088 9.088 -9.088
La Pm Sn
48 20 12
Direct
0.054 0.237 0.142
0.054 0.318 0.913
0.087 0.642 0.405
0.087 0.946 0.682
0.095 0.737 0.682
0.095 0.858 0.413
0.142 0.054 0.237
0.142 0.587 0.905
0.182 0.237 0.595
0.182 0.446 0.587
0.237 0.142 0.054
0.237 0.595 0.182
0.263 0.318 0.905
0.263 0.446 0.358
0.318 0.905 0.263
0.318 0.913 0.054
0.358 0.263 0.446
0.358 0.595 0.913
0.405 0.087 0.642
0.405 0.818 0.763
0.413 0.095 0.858
0.413 0.818 0.554
0.446 0.358 0.263
0.446 0.587 0.182
0.554 0.413 0.818
0.554 0.642 0.737
0.587 0.182 0.446
0.587 0.905 0.142
0.595 0.182 0.237
0.595 0.913 0.358
0.642 0.405 0.087
0.642 0.737 0.554
0.682 0.087 0.946
0.682 0.095 0.737
0.737 0.554 0.642
0.737 0.682 0.095
0.763 0.405 0.818
0.763 0.858 0.946
0.818 0.554 0.413
0.818 0.763 0.405
0.858 0.413 0.095
0.858 0.946 0.763
0.905 0.142 0.587
0.905 0.263 0.318
0.913 0.054 0.318
0.913 0.358 0.595
0.946 0.682 0.087
0.946 0.763 0.858
0.000 0.000 0.000
0.000 0.000 0.500
0.000 0.500 0.000
0.000 0.500 0.500
0.125 0.750 0.875
0.125 0.875 0.250
0.250 0.125 0.875
0.250 0.625 0.375
0.375 0.250 0.625
0.375 0.625 0.750
0.500 0.000 0.000
0.500 0.000 0.500
0.500 0.500 0.000
0.500 0.500 0.500
0.625 0.375 0.250
0.625 0.750 0.375
0.750 0.375 0.625
0.750 0.875 0.125
0.875 0.125 0.750
0.875 0.250 0.125
0.125 0.250 0.375
0.125 0.375 0.750
0.250 0.375 0.125
0.250 0.875 0.625
0.375 0.125 0.250
0.375 0.750 0.125
0.625 0.250 0.875
0.625 0.875 0.750
0.750 0.125 0.375
0.750 0.625 0.875
0.875 0.625 0.250
0.875 0.750 0.625
```

***

2.
Density functional theory data (PBE) for crystalline MgPN2 at its relaxed geometry.

Calculated values
As for the energy relative to the elements, uncorrected: -0.380 eV/atom. The value obtained for the offset from the most stable computed form is 0.000 eV/atom. Its space-group type is Pm (6).

Cell and atoms, written as POSCAR:
```
MgPN2
1.0
3.137 0.000 0.000
0.000 2.868 0.000
-0.594 0.000 4.931
Mg P N
1 1 2
Direct
0.000 0.000 0.000
0.417 0.500 0.561
0.160 0.000 0.434
0.485 0.500 0.891
```

***

3.
Density functional theory data (PBE) for crystalline Sc3AlGe at its relaxed geometry.

Calculated values
The value obtained for the offset from the most stable computed form is 0.237 eV/atom. Its space-group type is Pm-3m (221).

Cell and atoms, written as POSCAR:
```
Sc3AlGe
1.0
5.017 0.000 0.000
0.000 5.017 0.000
0.000 0.000 5.017
Sc Al Ge
3 1 1
Direct
0.000 0.000 0.500
0.000 0.500 0.000
0.500 0.000 0.000
0.500 0.500 0.500
0.000 0.000 0.000
```

***

4.
Density functional theory data (PBE) for crystalline NdThU at its relaxed geometry.

Calculated values
The raw total energy comes out at -7.586 eV/atom. Its space-group type is C2/m (12).

Cell and atoms, written as POSCAR:
```
NdThU
1.0
8.617 -1.817 0.000
8.617 1.817 0.000
-0.946 0.000 5.809
Nd Th U
2 2 2
Direct
0.064 0.064 0.282
0.936 0.936 0.718
0.370 0.370 0.193
0.630 0.630 0.807
0.264 0.264 0.646
0.736 0.736 0.354
```

***

5.
Density functional theory data (PBE) for crystalline Ta2Ir at its relaxed geometry.

Calculated values
The raw total energy comes out at -11.171 eV/atom. Its space-group type is I4_1/amd (141).

Cell and atoms, written as POSCAR:
```
Ta2Ir
1.0
-1.989 1.989 12.853
1.989 -1.989 12.853
1.989 1.989 -12.853
Ta Ir
8 4
Direct
0.038 0.788 0.250
0.123 0.373 0.750
0.212 0.962 0.250
0.373 0.123 0.250
0.627 0.877 0.750
0.788 0.038 0.750
0.877 0.627 0.250
0.962 0.212 0.750
0.291 0.541 0.750
0.459 0.709 0.750
0.541 0.291 0.250
0.709 0.459 0.250
```

***

6.
Density functional theory data (PBE) for crystalline Sm2DyC at its relaxed geometry.

Calculated values
The raw total energy comes out at -5.795 eV/atom. Its space-group type is R-3m (166).

Cell and atoms, written as POSCAR:
```
Sm2DyC
1.0
1.794 1.036 9.863
-1.794 1.036 9.863
0.000 -2.072 9.863
Sm Dy C
2 1 1
Direct
0.120 0.120 0.120
0.880 0.880 0.880
0.000 0.000 0.000
0.500 0.500 0.500
```

***

7.
Density functional theory data (PBE) for crystalline SrScCl2 at its relaxed geometry.

Calculated values
As for the energy relative to the elements, uncorrected: -1.230 eV/atom. The value obtained for the offset from the most stable computed form is 0.145 eV/atom. Its space-group type is P2/m (10).

Cell and atoms, written as POSCAR:
```
SrScCl2
1.0
3.693 0.000 0.000
0.000 4.252 0.000
-0.009 0.000 6.455
Sr Sc Cl
1 1 2
Direct
0.000 0.000 0.000
0.500 0.000 0.500
0.498 0.500 0.244
0.502 0.500 0.756
```

***

8.
Density functional theory data (PBE) for crystalline CeTh2Se3 at its relaxed geometry.

Calculated values
As for the energy relative to the elements, uncorrected: -1.641 eV/atom. Its space-group type is P2_1/c (14).

Cell and atoms, written as POSCAR:
```
CeTh2Se3
1.0
5.937 0.000 0.000
0.000 12.864 0.000
0.000 0.000 8.219
Ce Th Se
4 8 12
Direct
0.250 0.084 0.125
0.250 0.416 0.625
0.750 0.584 0.375
0.750 0.916 0.875
0.250 0.083 0.625
0.250 0.417 0.125
0.251 0.749 0.125
0.251 0.751 0.625
0.749 0.249 0.375
0.749 0.251 0.875
0.750 0.583 0.875
0.750 0.917 0.375
0.249 0.250 0.375
0.249 0.250 0.875
0.250 0.582 0.376
0.250 0.583 0.873
0.250 0.917 0.373
0.250 0.918 0.876
0.750 0.082 0.124
0.750 0.083 0.627
0.750 0.417 0.127
0.750 0.418 0.624
0.751 0.750 0.125
0.751 0.750 0.625
```